Material: Pm2SmYHo6
Method: DFT, PBE
State: optimized geometry

Unit cell a=9.678 b=8.783 c=8.783 alpha=118.28 beta=94.47 gamma=94.47
Sites, in units of the cell vectors:
Ho1 0.185 0.573 0.023
Ho2 0.315 0.977 0.427
Ho3 0.815 0.427 0.977
Ho4 0.120 0.707 0.495
Ho5 0.880 0.293 0.505
Ho6 0.557 0.744 0.124
Ho7 0.943 0.876 0.256
Ho8 0.380 0.505 0.293
Ho9 0.620 0.495 0.707
Ho10 0.685 0.023 0.573
Ho11 0.443 0.256 0.876
Ho12 0.057 0.124 0.744
Pm1 0.957 0.702 0.806
Pm2 0.043 0.298 0.194
Pm3 0.543 0.194 0.298
Pm4 0.457 0.806 0.702
Y1 0.750 0.593 0.407
Y2 0.250 0.407 0.593
Sm1 0.250 0.981 0.019
Sm2 0.750 0.019 0.981

Energy relative to the elements = 111 kJ/mol of formula units

=====

Material: As2Ir
Method: DFT, PBE
State: optimized geometry

Unit cell a=4.945 b=4.945 c=4.742 alpha=90.00 beta=90.00 gamma=109.70
Sites, in units of the cell vectors:
As1 0.417 0.105 0.750
As2 0.105 0.417 0.750
As3 0.583 0.895 0.250
As4 0.895 0.583 0.250
Ir1 0.138 0.138 0.250
Ir2 0.862 0.862 0.750

Energy relative to the elements = 88 kJ/mol of formula units

=====

Material: AgAu2SF
Method: DFT, PBE
State: optimized geometry

Unit cell a=4.810 b=4.164 c=4.810 alpha=90.00 beta=90.00 gamma=90.00
Sites, in units of the cell vectors:
F1 0.000 0.500 0.000
Ag1 0.500 0.500 0.500
Au1 0.500 0.000 0.000
Au2 0.000 0.000 0.500
S1 0.000 0.000 0.000

Uncorrected formation energy = 0.07 eV per atom

=====

no.,raw total energy (eV per atom),D(E_F) (states/eV per cell)
1,-4.701,27.851
2,-5.751,2.737
3,-3.015,2.414